The following is a DFT calculation (PBE-GGA) of an optimized crystal structure of PrNd2DySe4.

Summary:
**V**: 210 Å³/cell
**Energy relative to the elements, uncorrected**: -41.779 kcal/mol of atoms
**Total energy**: -5.9186 eV per atom

```
data_PrNd2DySe4
_chemical_formula_sum 'Pr1 Nd2 Dy1 Se4'
_cell_length_a 7.284
_cell_length_b 4.144
_cell_length_c 7.346
_cell_angle_alpha 90.00
_cell_angle_beta 108.78
_cell_angle_gamma 90.00
_space_group_name_H-M_alt 'P 1 2/m 1'
_space_group_IT_number 10
_space_group_name_Hall '-P 2y'
loop_
_atom_site_label
_atom_site_type_symbol
_atom_site_fract_x
_atom_site_fract_y
_atom_site_fract_z
_atom_site_occupancy
Pr1 Pr 0.000 0.000 0.000 1
Nd1 Nd 0.500 0.000 0.500 1
Nd2 Nd 0.500 0.500 0.000 1
Dy1 Dy 0.000 0.500 0.500 1
Se1 Se 0.241 0.000 0.739 1
Se2 Se 0.247 0.500 0.257 1
```


The following is a DFT calculation (PBE-GGA) of an optimized crystal structure of Pr3Nd3DySe8.

Summary:
**V**: 1282 Å³/cell
**Energy relative to the elements, uncorrected**: -43.250 kcal/mol of atoms
**Total energy**: -5.9502 eV per atom

```
data_Pr3Nd3DySe8
_chemical_formula_sum 'Pr9 Nd9 Dy3 Se24'
_cell_length_a 8.4476
_cell_length_b 8.4476
_cell_length_c 20.7439
_cell_angle_alpha 90.00
_cell_angle_beta 90.00
_cell_angle_gamma 120.00
_space_group_name_H-M_alt 'R -3 m'
_space_group_IT_number 166
_space_group_name_Hall '-R 3 2"'
loop_
_atom_site_label
_atom_site_type_symbol
_atom_site_fract_x
_atom_site_fract_y
_atom_site_fract_z
_atom_site_occupancy
Pr1 Pr 0.0000 0.5000 0.0000 1
Nd1 Nd 0.0000 0.5000 0.5000 1
Dy1 Dy 0.0000 0.0000 0.5000 1
Se1 Se 0.0000 0.0000 0.2491 1
Se2 Se 0.0052 0.5026 0.2476 1
```


The following is a DFT calculation (PBE-GGA) of an optimized crystal structure of Pr4NdDySe8.

Summary:
**V**: 1399 Å³/cell
**Energy relative to the elements, uncorrected**: -39.769 kcal/mol of atoms
**Total energy**: -5.7506 eV per atom

```
data_Pr4NdDySe8
_chemical_formula_sum 'Pr12 Nd3 Dy3 Se24'
_cell_length_a 8.7091
_cell_length_b 8.7091
_cell_length_c 21.3052
_cell_angle_alpha 90.00
_cell_angle_beta 90.00
_cell_angle_gamma 120.00
_space_group_name_H-M_alt 'R 3 m'
_space_group_IT_number 160
_space_group_name_Hall 'R 3 -2"'
loop_
_atom_site_label
_atom_site_type_symbol
_atom_site_fract_x
_atom_site_fract_y
_atom_site_fract_z
_atom_site_occupancy
Pr1 Pr 0.0000 0.0000 0.0000 1
Pr2 Pr 0.1691 0.3383 0.2080 1
Nd1 Nd 0.0000 0.0000 0.3772 1
Dy1 Dy 0.0000 0.0000 0.7504 1
Se1 Se 0.0000 0.0000 0.1334 1
Se2 Se 0.0000 0.0000 0.6222 1
Se3 Se 0.0097 0.5048 0.1257 1
Se4 Se 0.1785 0.3570 0.9565 1
```


The following is a DFT calculation (PBE-GGA) of an optimized crystal structure of Pr3Nd4DySe8.

Summary:
**V**: 1282 Å³/cell
**Energy relative to the elements, uncorrected**: -41.992 kcal/mol of atoms
**Total energy**: -5.9389 eV per atom

```
data_Pr3Nd4DySe8
_chemical_formula_sum 'Pr9 Nd12 Dy3 Se24'
_cell_length_a 8.4607
_cell_length_b 8.4607
_cell_length_c 20.6810
_cell_angle_alpha 90.00
_cell_angle_beta 90.00
_cell_angle_gamma 120.00
_space_group_name_H-M_alt 'R -3 m'
_space_group_IT_number 166
_space_group_name_Hall '-R 3 2"'
loop_
_atom_site_label
_atom_site_type_symbol
_atom_site_fract_x
_atom_site_fract_y
_atom_site_fract_z
_atom_site_occupancy
Pr1 Pr 0.0000 0.5000 0.0000 1
Nd1 Nd 0.0000 0.0000 0.5000 1
Nd2 Nd 0.0000 0.5000 0.5000 1
Dy1 Dy 0.0000 0.0000 0.0000 1
Se1 Se 0.0000 0.0000 0.2490 1
Se2 Se 0.0086 0.5043 0.7489 1
```


The following is a DFT calculation (PBE-GGA) of an optimized crystal structure of Pr2Nd3DySe6.

Summary:
**V**: 637 Å³/cell
**Energy relative to the elements, uncorrected**: -42.058 kcal/mol of atoms
**Total energy**: -5.9381 eV per atom

```
data_Pr2Nd3DySe6
_chemical_formula_sum 'Pr4 Nd6 Dy2 Se12'
_cell_length_a 18.358
_cell_length_b 4.198
_cell_length_c 8.485
_cell_angle_alpha 90.00
_cell_angle_beta 103.14
_cell_angle_gamma 90.00
_space_group_name_H-M_alt 'C 1 2/m 1'
_space_group_IT_number 12
_space_group_name_Hall '-C 2y'
loop_
_atom_site_label
_atom_site_type_symbol
_atom_site_fract_x
_atom_site_fract_y
_atom_site_fract_z
_atom_site_occupancy
Pr1 Pr 0.168 0.000 0.336 1
Nd1 Nd 0.000 0.500 0.500 1
Nd2 Nd 0.171 0.000 0.834 1
Dy1 Dy 0.000 0.500 0.000 1
Se1 Se 0.002 0.000 0.761 1
Se2 Se 0.161 0.500 0.078 1
Se3 Se 0.165 0.500 0.585 1
```


The following is a DFT calculation (PBE-GGA) of an optimized crystal structure of Pr6Nd3SmDy2.

Summary:
**V**: 839 Å³/cell
**Total energy**: -4.7289 eV per atom
**Energy of formation**: 0.3 kcal/mol of atoms

```
data_Pr6Nd3SmDy2
_chemical_formula_sum 'Pr12 Nd6 Sm2 Dy4'
_cell_length_a 6.371
_cell_length_b 11.039
_cell_length_c 12.118
_cell_angle_alpha 90.00
_cell_angle_beta 100.11
_cell_angle_gamma 90.00
_space_group_name_H-M_alt 'C 1 2/m 1'
_space_group_IT_number 12
_space_group_name_Hall '-C 2y'
loop_
_atom_site_label
_atom_site_type_symbol
_atom_site_fract_x
_atom_site_fract_y
_atom_site_fract_z
_atom_site_occupancy
Pr1 Pr 0.249 0.000 0.247 1
Pr2 Pr 0.250 0.167 0.753 1
Nd1 Nd 0.000 0.000 0.500 1
Nd2 Nd 0.000 0.333 0.500 1
Sm1 Sm 0.000 0.500 0.000 1
Dy1 Dy 0.000 0.167 0.000 1
```


The following is a DFT calculation (PBE-GGA) of an optimized crystal structure of PrNd6Sm2Dy3.

Summary:
**V**: 818 Å³/cell
**Total energy**: -4.7056 eV per atom
**Energy of formation**: 0.3 kcal/mol of atoms

```
data_PrNd6Sm2Dy3
_chemical_formula_sum 'Pr2 Nd12 Sm4 Dy6'
_cell_length_a 6.318
_cell_length_b 10.943
_cell_length_c 12.021
_cell_angle_alpha 90.00
_cell_angle_beta 100.08
_cell_angle_gamma 90.00
_space_group_name_H-M_alt 'C 1 2/m 1'
_space_group_IT_number 12
_space_group_name_Hall '-C 2y'
loop_
_atom_site_label
_atom_site_type_symbol
_atom_site_fract_x
_atom_site_fract_y
_atom_site_fract_z
_atom_site_occupancy
Pr1 Pr 0.000 0.000 0.000 1
Nd1 Nd 0.248 0.333 0.747 1
Nd2 Nd 0.249 0.000 0.747 1
Sm1 Sm 0.000 0.333 0.000 1
Dy1 Dy 0.000 0.167 0.500 1
Dy2 Dy 0.000 0.500 0.500 1
```


The following is a DFT calculation (PBE-GGA) of an optimized crystal structure of PrNd6SmDy2.

Summary:
**V**: 1391 Å³/cell
**Total energy**: -4.6173 eV per atom
**Energy of formation**: 2.6 kcal/mol of atoms

```
data_PrNd6SmDy2
_chemical_formula_sum 'Pr4 Nd24 Sm4 Dy8'
_cell_length_a 9.322
_cell_length_b 15.357
_cell_length_c 9.809
_cell_angle_alpha 90.00
_cell_angle_beta 97.94
_cell_angle_gamma 90.00
_space_group_name_H-M_alt 'C 1 2/c 1'
_space_group_IT_number 15
_space_group_name_Hall '-C 2yc'
loop_
_atom_site_label
_atom_site_type_symbol
_atom_site_fract_x
_atom_site_fract_y
_atom_site_fract_z
_atom_site_occupancy
Pr1 Pr 0.000 0.094 0.250 1
Nd1 Nd 0.066 0.323 0.444 1
Nd2 Nd 0.097 0.108 0.620 1
Nd3 Nd 0.208 0.275 0.817 1
Sm1 Sm 0.000 0.471 0.750 1
Dy1 Dy 0.245 0.452 0.047 1
```


The following is a DFT calculation (PBE-GGA) of an optimized crystal structure of Pr2Nd2Sm2Dy.

Summary:
**V**: 484 Å³/cell
**Total energy**: -4.7194 eV per atom
**Energy of formation**: 0.3 kcal/mol of atoms

```
data_Pr2Nd2Sm2Dy
_chemical_formula_sum 'Pr4 Nd4 Sm4 Dy2'
_cell_length_a 11.541
_cell_length_b 5.170
_cell_length_c 8.198
_cell_angle_alpha 90.00
_cell_angle_beta 98.11
_cell_angle_gamma 90.00
_space_group_name_H-M_alt 'C 1 2/m 1'
_space_group_IT_number 12
_space_group_name_Hall '-C 2y'
loop_
_atom_site_label
_atom_site_type_symbol
_atom_site_fract_x
_atom_site_fract_y
_atom_site_fract_z
_atom_site_occupancy
Pr1 Pr 0.214 0.000 0.142 1
Nd1 Nd 0.142 0.500 0.427 1
Sm1 Sm 0.071 0.000 0.714 1
Dy1 Dy 0.000 0.500 0.000 1
```


The following is a DFT calculation (PBE-GGA) of an optimized crystal structure of Pr6Nd3Sm2Dy.

Summary:
**V**: 844 Å³/cell
**Total energy**: -4.7392 eV per atom
**Energy of formation**: 0.3 kcal/mol of atoms

```
data_Pr6Nd3Sm2Dy
_chemical_formula_sum 'Pr12 Nd6 Sm4 Dy2'
_cell_length_a 6.381
_cell_length_b 11.057
_cell_length_c 12.157
_cell_angle_alpha 90.00
_cell_angle_beta 100.12
_cell_angle_gamma 90.00
_space_group_name_H-M_alt 'C 1 2/m 1'
_space_group_IT_number 12
_space_group_name_Hall '-C 2y'
loop_
_atom_site_label
_atom_site_type_symbol
_atom_site_fract_x
_atom_site_fract_y
_atom_site_fract_z
_atom_site_occupancy
Pr1 Pr 0.249 0.166 0.248 1
Pr2 Pr 0.250 0.000 0.752 1
Nd1 Nd 0.000 0.167 0.500 1
Nd2 Nd 0.000 0.500 0.500 1
Sm1 Sm 0.000 0.333 0.000 1
Dy1 Dy 0.000 0.000 0.000 1
```